(1)
The following is a DFT calculation (meta-GGA SCAN) of a PBEsol-optimized structure of CdSiNi.

The structure in CIF format:
```
data_CdSiNi
_symmetry_space_group_name_H-M 'F -4 3 m'
_symmetry_Int_Tables_number 216
_symmetry_space_group_name_Hall 'F -4 2 3'
_cell_length_a 5.901
_cell_length_b 5.901
_cell_length_c 5.901
_cell_angle_alpha 90.00
_cell_angle_beta 90.00
_cell_angle_gamma 90.00
loop_
_atom_site_label
_atom_site_fract_x
_atom_site_fract_y
_atom_site_fract_z
Cd1 0.000 0.000 0.000
Si1 0.250 0.250 0.250
Ni1 0.250 0.250 0.750
```

Results
Total magnetic moment = 0.000 μB per cell
Raw formation energy = 61 kJ/mol of atoms



(2)
The following is a DFT calculation (meta-GGA SCAN) of a PBEsol-optimized structure of MnCoSe2.

The structure in CIF format:
```
data_MnCoSe2
_symmetry_space_group_name_H-M 'P -4 m 2'
_symmetry_Int_Tables_number 115
_cell_length_a 3.625
_cell_length_b 3.625
_cell_length_c 5.546
_cell_angle_alpha 90.00
_cell_angle_beta 90.00
_cell_angle_gamma 90.00
loop_
_symmetry_equiv_pos_as_xyz
'x,y,z'
'y,-x,-z'
'-x,-y,z'
'-y,x,-z'
'-x,y,z'
'-y,-x,-z'
'x,-y,z'
'y,x,-z'
loop_
_atom_site_label
_atom_site_fract_x
_atom_site_fract_y
_atom_site_fract_z
Mn1 0.000 0.000 0.000
Co1 0.500 0.500 0.000
Se1 0.000 0.500 0.748
```

Results
Total magnetic moment = 1.880 μB per cell
Raw formation energy = -38 kJ/mol of atoms



(3)
The following is a DFT calculation (meta-GGA SCAN) of a PBEsol-optimized structure of KBaSb.

The structure in CIF format:
```
data_KBaSb
_symmetry_space_group_name_H-M 'P 63/m m c'
_symmetry_Int_Tables_number 194
_symmetry_space_group_name_Hall '-P 6c 2c'
_cell_length_a 5.9685
_cell_length_b 5.9685
_cell_length_c 7.3250
_cell_angle_alpha 90.00
_cell_angle_beta 90.00
_cell_angle_gamma 120.00
loop_
_atom_site_label
_atom_site_fract_x
_atom_site_fract_y
_atom_site_fract_z
K1 0.0000 0.0000 0.0000
Ba1 0.3333 0.6667 0.2500
Sb1 0.3333 0.6667 0.7500
```

Results
Total magnetic moment = 0.000 μB per cell
Raw formation energy = -89 kJ/mol of atoms